Record 1
Sn3BIr, relaxed, DFT PBE-GGA; crystal system = cubic; polymorph energy (0 for the lowest one) = 150 meV/atom; E_tot = -4.500 eV/atom
1.0
5.127 0.000 0.000
0.000 5.127 0.000
0.000 0.000 5.127
B Ir Sn
1 1 3
Cartesian
2.563 2.563 2.563
0.000 0.000 0.000
0.000 2.563 0.000
0.000 0.000 2.563
2.563 0.000 0.000

Record 2
AlIn2Hg2, relaxed, DFT PBE-GGA; crystal system = tetragonal; polymorph energy (0 for the lowest one) = 125 meV/atom; E_tot = -1.697 eV/atom
1.0
4.317 0.000 0.000
0.000 4.317 0.000
2.159 2.159 7.214
Al Hg In
1 2 2
Cartesian
0.000 0.000 0.000
2.159 2.159 1.408
4.317 4.317 5.806
4.317 2.159 3.607
2.159 4.317 3.607

Record 3
LiZn2Cd, relaxed, DFT PBE-GGA; crystal system = monoclinic; E_tot = -1.453 eV/atom
1.0
-3.100 3.039 -0.492
-1.673 -1.926 -1.354
-3.007 -2.405 4.096
Zn Li Cd
2 1 1
Cartesian
-3.303 -2.754 3.798
-2.390 0.809 0.653
-5.234 -1.893 1.882
-2.202 -2.022 1.385

Record 4
LiHf2Hg2, relaxed, DFT PBE-GGA; crystal system = tetragonal; polymorph energy (0 for the lowest one) = 0 meV/atom; E_tot = -4.437 eV/atom
1.0
-5.644 2.512 -2.803
-3.222 -5.837 1.255
-1.295 1.580 4.022
Hf Hg Li
4 4 2
Cartesian
-3.710 -2.673 2.385
-7.087 -2.424 1.200
-6.450 0.928 0.089
-3.073 0.679 1.274
-4.713 -4.082 0.086
-6.891 -1.659 -1.566
-4.153 0.757 -1.634
-1.974 -1.665 0.018
0.000 0.000 0.000
-4.433 -1.662 -0.774

Record 5
LiY4Al2Zn, relaxed, DFT PBE-GGA; crystal system = trigonal; E_tot = -4.903 eV/atom
1.0
-0.474 -0.042 5.110
0.538 -4.397 2.591
8.232 -0.018 3.341
Li Y Al Zn
1 4 2 1
Cartesian
0.000 0.000 0.000
7.160 -1.693 5.805
3.202 -3.881 7.997
5.094 -0.577 3.045
1.136 -2.765 5.237
6.306 -3.328 8.290
1.990 -1.129 2.753
4.148 -2.229 5.521

Record 6
CoAs2Pt, relaxed, DFT PBE-GGA; crystal system = tetragonal; polymorph energy (0 for the lowest one) = 418 meV/atom; E_tot = -5.459 eV/atom
1.0
5.026 0.023 0.000
2.166 4.535 0.000
-3.596 -2.279 2.671
As Co Pt
2 1 1
Cartesian
0.000 0.000 0.000
1.083 2.268 1.336
3.596 2.279 0.000
2.513 0.012 1.336

Question: Which value of E_tot does entry 6 give?
Answer: -5.459 eV/atom

Question: Which value of E_tot does entry 1 give?
Answer: -4.500 eV/atom

Question: E_tot of number 3 (LiZn2Cd)?
Answer: -1.453 eV/atom

Question: E_tot of number 1 (Sn3BIr)?
Answer: -4.500 eV/atom